Record 1
# BiPRh

A geometry-optimized BiPRh structure (GGA-PBE, the Alexandria database).

Unit cell a=6.1962 b=6.1962 c=6.1962 alpha=90.00 beta=90.00 gamma=90.00
Space group P2_13 (No. 198)
Inequivalent atoms, fractional coordinates:
Bi 0.1363 0.3637 0.6363 [4 per cell]
P 0.1201 0.1201 0.1201 [4 per cell]
Rh 0.0462 0.9538 0.4538 [4 per cell]

Properties
Formation enthalpy at 0 K   -0.308 eV/atom

---

Record 2
# BiPRh2

A geometry-optimized BiPRh2 structure (GGA-PBE, the Alexandria database).

Unit cell a=5.0598 b=5.0598 c=13.3563 alpha=90.00 beta=90.00 gamma=90.00
Space group I-42d (No. 122)
Inequivalent atoms, fractional coordinates:
Bi 0.0000 0.0000 0.0000 [4 per cell]
P 0.0000 0.0000 0.5000 [4 per cell]
Rh 0.1620 0.2500 0.6250 [8 per cell]

Properties
Formation enthalpy at 0 K   -0.179 eV/atom

---

Record 3
# BiP3Rh

A geometry-optimized BiP3Rh structure (GGA-PBE, the Alexandria database).

Unit cell a=4.6763 b=4.6763 c=4.6763 alpha=90.00 beta=90.00 gamma=90.00
Space group Pm-3m (No. 221)
Inequivalent atoms, fractional coordinates:
Bi 0.0000 0.0000 0.0000 [1 per cell]
P 0.0000 0.5000 0.5000 [3 per cell]
Rh 0.5000 0.5000 0.5000 [1 per cell]

Properties
E above lowest polymorph   0.0 meV/atom
Formation enthalpy at 0 K   0.506 eV/atom

---

Record 4
# BiPRh3

A geometry-optimized BiPRh3 structure (GGA-PBE, the Alexandria database).

Unit cell a=4.4855 b=4.4855 c=4.4855 alpha=90.00 beta=90.00 gamma=90.00
Space group Pm-3m (No. 221)
Inequivalent atoms, fractional coordinates:
Bi 0.0000 0.0000 0.0000 [1 per cell]
P 0.5000 0.5000 0.5000 [1 per cell]
Rh 0.0000 0.5000 0.5000 [3 per cell]

Properties
E above lowest polymorph   0.0 meV/atom
Formation enthalpy at 0 K   -0.128 eV/atom

---

Record 5
# BiP2Rh

A geometry-optimized BiP2Rh structure (GGA-PBE, the Alexandria database).

Unit cell a=5.8625 b=5.8625 c=11.1197 alpha=90.00 beta=90.00 gamma=90.00
Space group I-42d (No. 122)
Inequivalent atoms, fractional coordinates:
Bi 0.0000 0.0000 0.0000 [4 per cell]
P 0.1774 0.2500 0.6250 [8 per cell]
Rh 0.0000 0.0000 0.5000 [4 per cell]

Properties
Formation enthalpy at 0 K   -0.054 eV/atom

---

Record 6
# Bi2PRh

A geometry-optimized Bi2PRh structure (GGA-PBE, the Alexandria database).

Unit cell a=6.3266 b=6.3266 c=11.9834 alpha=90.00 beta=90.00 gamma=90.00
Space group I-42d (No. 122)
Inequivalent atoms, fractional coordinates:
Bi 0.2336 0.2500 0.1250 [8 per cell]
P 0.0000 0.0000 0.5000 [4 per cell]
Rh 0.0000 0.0000 0.0000 [4 per cell]

Properties
Formation enthalpy at 0 K   0.244 eV/atom

---

Record 7
# BiPRhS2

A geometry-optimized BiPRhS2 structure (GGA-PBE, the Alexandria database).

Unit cell a=5.1594 b=5.1594 c=5.2431 alpha=90.00 beta=90.00 gamma=90.00
Space group P4/mmm (No. 123)
Inequivalent atoms, fractional coordinates:
Bi 0.0000 0.0000 0.0000 [1 per cell]
P 0.0000 0.0000 0.5000 [1 per cell]
Rh 0.5000 0.5000 0.5000 [1 per cell]
S 0.0000 0.5000 0.0000 [2 per cell]

Properties
E above lowest polymorph   1165.8 meV/atom
Formation energy (no corrections)   137 kJ per mole of atoms

---

Record 8
# BiPRhS2

A geometry-optimized BiPRhS2 structure (GGA-PBE, the Alexandria database).

Unit cell a=4.8712 b=4.8712 c=4.3935 alpha=90.00 beta=90.00 gamma=90.00
Space group P4/mmm (No. 123)
Inequivalent atoms, fractional coordinates:
Bi 0.0000 0.0000 0.0000 [1 per cell]
P 0.5000 0.5000 0.0000 [1 per cell]
Rh 0.5000 0.5000 0.5000 [1 per cell]
S 0.0000 0.5000 0.5000 [2 per cell]

Properties
E above lowest polymorph   0.0 meV/atom
Formation energy (no corrections)   24 kJ per mole of atoms

---

Record 9
# SmBiP2Rh5

A geometry-optimized SmBiP2Rh5 structure (GGA-PBE, the Alexandria database).

Unit cell a=4.0557 b=4.0557 c=10.4445 alpha=90.00 beta=90.00 gamma=90.00
Space group P4/mmm (No. 123)
Inequivalent atoms, fractional coordinates:
Sm 0.0000 0.0000 0.0000 [1 per cell]
Bi 0.0000 0.0000 0.5000 [1 per cell]
P 0.5000 0.5000 0.2160 [2 per cell]
Rh 0.0000 0.5000 0.3149 [4 per cell]
Rh 0.5000 0.5000 0.0000 [1 per cell]

Properties
Formation enthalpy at 0 K   -0.613 eV/atom

---

Record 10
# TaBi2PRh

A geometry-optimized TaBi2PRh structure (GGA-PBE, the Alexandria database).

Unit cell a=5.3386 b=5.3386 c=4.3001 alpha=90.00 beta=90.00 gamma=90.00
Space group P4/mmm (No. 123)
Inequivalent atoms, fractional coordinates:
Ta 0.0000 0.0000 0.0000 [1 per cell]
Bi 0.0000 0.5000 0.5000 [2 per cell]
P 0.5000 0.5000 0.5000 [1 per cell]
Rh 0.5000 0.5000 0.0000 [1 per cell]

Properties
Formation enthalpy at 0 K   0.960 eV/atom

---

Record 11
# Tb4BiP3Rh12

A geometry-optimized Tb4BiP3Rh12 structure (GGA-PBE, the Alexandria database).

Unit cell a=9.1493 b=9.1493 c=9.1493 alpha=90.00 beta=90.00 gamma=90.00
Space group Im-3m (No. 229)
Inequivalent atoms, fractional coordinates:
Tb 0.2500 0.2500 0.2500 [8 per cell]
Bi 0.0000 0.0000 0.0000 [2 per cell]
P 0.0000 0.0000 0.5000 [6 per cell]
Rh 0.0000 0.0000 0.2714 [12 per cell]
Rh 0.0000 0.2500 0.5000 [12 per cell]

Properties
Formation enthalpy at 0 K   -0.430 eV/atom

---

Record 12
# TbBiP2Rh5

A geometry-optimized TbBiP2Rh5 structure (GGA-PBE, the Alexandria database).

Unit cell a=4.0378 b=4.0378 c=10.4693 alpha=90.00 beta=90.00 gamma=90.00
Space group P4/mmm (No. 123)
Inequivalent atoms, fractional coordinates:
Tb 0.0000 0.0000 0.0000 [1 per cell]
Bi 0.0000 0.0000 0.5000 [1 per cell]
P 0.5000 0.5000 0.2150 [2 per cell]
Rh 0.0000 0.5000 0.3148 [4 per cell]
Rh 0.5000 0.5000 0.0000 [1 per cell]

Properties
Formation enthalpy at 0 K   -0.603 eV/atom